Crystalline NaTeOsC2 at its relaxed geometry, computed with PBE.

The structure in POSCAR format:
```
NaTeOsC2
1.0
4.123 0.000 0.000
0.000 4.956 0.000
0.000 0.000 4.123
Os C Te Na
1 2 1 1
direct
0.000 0.500 0.000
0.500 0.000 0.000
0.000 0.000 0.500
0.500 0.500 0.500
0.000 0.000 0.000
```

Properties
The value obtained for the formation energy (no corrections) is 3.2895 eV/atom. The space group is P4/mmm, No. 123. The value obtained for the relative energy among the computed polymorphs is 0.00 kcal/mol of atoms.

Crystalline Pm2Ho2Te7 at its relaxed geometry, computed with PBE.

The structure in POSCAR format:
```
Pm2Ho2Te7
1.0
4.293 0.000 0.000
2.146 9.387 -0.151
2.146 4.318 8.337
Pm Ho Te
2 2 7
direct
0.258 0.339 0.145
0.742 0.855 0.661
0.500 0.324 0.676
0.000 0.769 0.231
0.607 0.492 0.293
0.859 0.427 0.854
0.174 0.722 0.930
0.500 0.002 0.998
0.393 0.707 0.508
0.826 0.070 0.278
0.141 0.146 0.573
```

Properties
The value obtained for the formation energy (no corrections) is -1.2275 eV/atom. The space group is Imm2, No. 44.

Crystalline NdMg2Rh at its relaxed geometry, computed with PBE.

The structure in POSCAR format:
```
NdMg2Rh
1.0
-2.105 2.255 -0.693
-3.093 -0.574 0.314
-1.358 3.946 9.753
Nd Mg Rh
1 2 1
direct
0.000 0.000 0.000
0.896 0.896 0.313
0.104 0.104 0.687
0.500 0.500 0.500
```

Properties
As for the energy of formation: 3.9 kJ/mol of atoms. The space group is R-3m, No. 166.

Crystalline LiTm2Pb3 at its relaxed geometry, computed with PBE.

The structure in POSCAR format:
```
LiTm2Pb3
1.0
2.437 -7.407 0.000
2.437 7.407 0.000
0.000 0.000 8.745
Pb Tm Li
6 4 2
direct
0.168 0.832 0.760
0.500 0.500 0.754
0.832 0.168 0.240
0.168 0.832 0.240
0.832 0.168 0.760
0.500 0.500 0.246
0.669 0.331 0.500
0.000 0.000 0.000
0.331 0.669 0.500
0.000 0.000 0.500
0.671 0.329 0.000
0.329 0.671 0.000
```

Properties
As for the energy of formation: -32.9 kJ/mol of atoms. The space group is Cmmm, No. 65. The value obtained for the relative energy among the computed polymorphs is 0.00 kcal/mol of atoms.

Crystalline Y3TmPd4 at its relaxed geometry, computed with PBE.

The structure in POSCAR format:
```
Y3TmPd4
1.0
-2.163 0.666 -2.585
3.741 -0.555 -3.273
-2.104 -9.753 -0.752
Pd Y Tm
4 3 1
direct
0.000 0.500 0.244
0.000 0.000 0.000
0.000 0.000 0.500
0.000 0.500 0.756
0.500 0.000 0.751
0.500 0.000 0.249
0.500 0.500 0.500
0.500 0.500 0.000
```

Properties
As for the energy of formation: -86.2 kJ/mol of atoms. The space group is Pmmm, No. 47.

Crystalline Er3Tm2In7 at its relaxed geometry, computed with PBE.

The structure in POSCAR format:
```
Er3Tm2In7
1.0
-1.484 -4.262 0.773
3.004 -1.653 -3.348
9.256 -1.004 12.232
Tm In Er
2 7 3
direct
0.000 0.840 0.680
0.000 0.160 0.320
0.000 0.000 0.000
0.000 0.423 0.846
0.500 0.078 0.156
0.000 0.275 0.550
0.000 0.577 0.154
0.000 0.725 0.450
0.500 0.922 0.844
0.500 0.500 0.000
0.500 0.647 0.293
0.500 0.353 0.707
```

Properties
As for the energy of formation: -19.5 kJ/mol of atoms. The space group is Cmmm, No. 65.

Crystalline FeSi2Ir at its relaxed geometry, computed with PBE.

The structure in POSCAR format:
```
FeSi2Ir
1.0
-3.903 2.148 -6.349
-5.572 0.050 -5.395
-5.845 2.678 -4.339
Ir Si Fe
1 2 1
direct
0.746 0.746 0.746
0.246 0.246 0.246
0.001 0.001 0.001
0.507 0.507 0.507
```

Properties
The value obtained for the formation energy (no corrections) is -0.0675 eV/atom. The space group is R3m, No. 160.

Crystalline CaTiCuH2 at its relaxed geometry, computed with PBE.

The structure in POSCAR format:
```
CaTiCuH2
1.0
3.828 0.000 0.000
0.000 6.525 0.000
0.000 0.000 3.828
Ti Ca Cu H
1 1 1 2
direct
0.000 0.000 0.000
0.000 0.500 0.000
0.500 0.500 0.500
0.000 0.000 0.500
0.500 0.000 0.000
```

Properties
The calculation puts the electronic total energy at -3.602 eV/atom. The space group is P4/mmm, No. 123.

Crystalline IrPbBr at its relaxed geometry, computed with PBE.

The structure in POSCAR format:
```
IrPbBr
1.0
-3.826 4.406 -3.255
-1.428 1.754 -6.287
0.869 -4.631 4.737
Br Ir Pb
1 1 1
direct
0.974 0.974 0.000
0.331 0.331 0.000
0.695 0.695 0.000
```

Properties
The value obtained for the formation energy (no corrections) is 0.5436 eV/atom. The space group is I4mm, No. 107. The value obtained for the relative energy among the computed polymorphs is 4.75 kcal/mol of atoms.

Crystalline Ba2CaGaSe5 at its relaxed geometry, computed with PBE.

The structure in POSCAR format:
```
Ba2CaGaSe5
1.0
-3.921 -1.091 -1.546
5.924 -3.483 -6.435
0.562 -11.819 6.914
Ba Se Ca Ga
4 10 2 2
direct
0.120 0.239 0.689
0.880 0.761 0.189
0.141 0.281 0.353
0.859 0.719 0.853
0.681 0.363 0.178
0.334 0.668 0.027
0.666 0.332 0.527
0.480 0.960 0.754
0.986 0.972 0.506
0.520 0.040 0.254
0.014 0.028 0.006
0.331 0.662 0.374
0.669 0.338 0.874
0.319 0.637 0.678
0.821 0.642 0.530
0.179 0.358 0.030
0.461 0.922 0.412
0.539 0.078 0.912
```

Properties
The value obtained for the formation energy (no corrections) is -1.4570 eV/atom. The space group is Cmc2_1, No. 36.

- Number 6 is which compound?
  Er3Tm2In7

What did the tenth record say?
Crystalline Ba2CaGaSe5 at its relaxed geometry, computed with PBE.

The structure in POSCAR format:
```
Ba2CaGaSe5
1.0
-3.921 -1.091 -1.546
5.924 -3.483 -6.435
0.562 -11.819 6.914
Ba Se Ca Ga
4 10 2 2
direct
0.120 0.239 0.689
0.880 0.761 0.189
0.141 0.281 0.353
0.859 0.719 0.853
0.681 0.363 0.178
0.334 0.668 0.027
0.666 0.332 0.527
0.480 0.960 0.754
0.986 0.972 0.506
0.520 0.040 0.254
0.014 0.028 0.006
0.331 0.662 0.374
0.669 0.338 0.874
0.319 0.637 0.678
0.821 0.642 0.530
0.179 0.358 0.030
0.461 0.922 0.412
0.539 0.078 0.912
```

Properties
The value obtained for the formation energy (no corrections) is -1.4570 eV/atom. The space group is Cmc2_1, No. 36.